VASP calculation (PBE) on an optimized crystal structure of CrHg4Cl.

Cell lengths 6.062, 6.062, 6.062 Å; angles 60.00, 60.00, 60.00 degrees
Fractional coordinates of all 6 atoms:
Cr  0.000  0.000  0.000
Hg  0.125  0.625  0.625
Hg  0.625  0.125  0.625
Hg  0.625  0.625  0.125
Hg  0.625  0.625  0.625
Cl  0.250  0.250  0.250

Its raw formation energy is 0.28 eV per atom.